First-principles (PBE) data for Tb8Ge3Te4H after structural relaxation, as listed in the Alexandria database.

Cell and atoms, written as POSCAR:
```
Tb8Ge3Te4H
1.0
-3.551 -6.434 -4.102
-3.713 -2.585 7.269
-1.208 7.884 -2.687
Tb Te Ge H
8 4 3 1
direct
0.260 0.279 0.519 Tb
0.265 0.277 0.021 Tb
0.244 0.723 0.488 Tb
0.756 0.277 0.021 Tb
0.740 0.721 0.481 Tb
0.735 0.723 0.979 Tb
0.244 0.723 0.979 Tb
0.756 0.277 0.512 Tb
0.500 0.000 0.500 Te
0.000 0.000 0.000 Te
0.500 0.000 0.000 Te
0.000 0.000 0.500 Te
0.500 0.500 0.000 Ge
0.000 0.500 0.500 Ge
0.500 0.500 0.500 Ge
0.000 0.500 0.000 H
```

## Properties
DOS at the Fermi energy (states/eV/cell): 5.99
Total energy (eV per cell): -83.88
Total magnetic moment (μB per formula unit): 0.00

First-principles (PBE) data for Ca2AlSe after structural relaxation, as listed in the Alexandria database.

Cell and atoms, written as POSCAR:
```
Ca2AlSe
1.0
8.050 0.000 0.000
0.000 8.050 0.000
4.025 4.025 3.690
Se Ca Al
2 4 2
direct
0.750 0.250 0.500 Se
0.000 0.000 0.000 Se
0.375 0.346 0.750 Ca
0.096 0.625 0.250 Ca
0.654 0.125 0.250 Ca
0.875 0.904 0.750 Ca
0.250 0.750 0.500 Al
0.500 0.500 0.000 Al
```

## Properties
DOS at the Fermi energy (states/eV/cell): 2.61
Total energy (eV per cell): -27.49
Total magnetic moment (μB per formula unit): 0.00
Offset from the most stable computed form (meV per atom): 254.6
E_form (uncorrected) (eV per atom): -0.63

First-principles (PBE) data for PaCr2Re after structural relaxation, as listed in the Alexandria database.

Cell and atoms, written as POSCAR:
```
PaCr2Re
1.0
4.456 0.000 0.000
2.228 3.859 0.000
2.228 1.286 3.637
Cr Pa Re
2 1 1
direct
0.750 0.750 0.750 Cr
0.250 0.250 0.250 Cr
0.500 0.500 0.500 Pa
0.000 0.000 0.000 Re
```

## Properties
Energy of formation from the pure elements (kJ per mole of atoms): 22
DOS at the Fermi energy (states/eV/cell): 5.25
Total energy (eV per cell): -40.28
Total magnetic moment (μB per formula unit): 0.84
Offset from the most stable computed form (meV per atom): 69.0

First-principles (PBE) data for Ho2Si2Pt3 after structural relaxation, as listed in the Alexandria database.

Cell and atoms, written as POSCAR:
```
Ho2Si2Pt3
1.0
3.862 0.000 0.000
-1.931 5.124 -0.278
0.000 -2.698 6.501
Pt Ho Si
3 2 2
direct
0.624 0.247 0.440 Pt
0.500 0.000 0.000 Pt
0.376 0.753 0.560 Pt
0.134 0.267 0.770 Ho
0.866 0.733 0.230 Ho
0.848 0.697 0.780 Si
0.152 0.303 0.220 Si
```

## Properties
DOS at the Fermi energy (states/eV/cell): 3.84
Total energy (eV per cell): -45.91
Total magnetic moment (μB per formula unit): 0.00
E_form (uncorrected) (eV per atom): -1.11

What is the total energy in the third record? -40.28 eV per cell